No. 1
Compound: GaSbF2
Source: the Alexandria database
Functional: SCAN
Structure: single point on PBEsol structure Values from VASP.

```
&SYSTEM
  ibrav = 0, nat = 8, ntyp = 3
/
ATOMIC_SPECIES
Sb 121.76 Sb.upf
Ga 69.72 Ga.upf
F 19.00 F.upf
CELL_PARAMETERS angstrom
6.179 0.000 0.000
-3.090 5.212 -0.119
0.000 -3.548 5.060
ATOMIC_POSITIONS crystal
Sb 0.250 0.500 0.750
Sb 0.000 0.000 0.000
Ga 0.750 0.500 0.250
Ga 0.500 0.000 0.500
F 0.567 0.250 0.375
F 0.683 0.250 0.875
F 0.125 0.750 0.433
F 0.625 0.750 0.317
```

N(E_F): 0.58 states/eV/f.u.
Relative energy among the computed polymorphs: 237.4 meV per atom
Formation energy without anion corrections: -1.081 eV per atom
Volume: 20.04 A^3/atom
Total DFT energy (no corrections): -1.195 Ry per atom
Spin magnetization: 0.000 Bohr magnetons per cell
Symmetry: I-42d, No. 122
Crystal system: tetragonal

---

No. 2
Compound: GaSb2TeF
Source: the Alexandria database
Functional: SCAN
Structure: single point on PBEsol structure Values from VASP.

```
&SYSTEM
  ibrav = 0, nat = 5, ntyp = 4
/
ATOMIC_SPECIES
Sb 121.76 Sb.upf
Te 127.60 Te.upf
Ga 69.72 Ga.upf
F 19.00 F.upf
CELL_PARAMETERS angstrom
5.231 0.000 0.000
0.000 5.193 0.000
0.000 0.000 5.193
ATOMIC_POSITIONS crystal
Sb 0.000 0.000 0.500
Sb 0.000 0.500 0.000
Te 0.500 0.000 0.000
Ga 0.000 0.000 0.000
F 0.500 0.500 0.500
```

N(E_F): 2.34 states/eV/f.u.
Formation energy without anion corrections: 0.307 eV per atom
Volume: 28.21 A^3/atom
Total DFT energy (no corrections): -1.913 Ry per atom
Spin magnetization: 0.000 Bohr magnetons per cell
Symmetry: P4/mmm, No. 123
Crystal system: tetragonal

---

No. 3
Compound: ScGaSe2F
Source: the Alexandria database
Functional: SCAN
Structure: single point on PBEsol structure Values from VASP.

```
&SYSTEM
  ibrav = 0, nat = 5, ntyp = 4
/
ATOMIC_SPECIES
Sc 44.96 Sc.upf
Ga 69.72 Ga.upf
Se 78.96 Se.upf
F 19.00 F.upf
CELL_PARAMETERS angstrom
-1.524 4.449 0.367
-3.189 -1.356 3.200
3.465 0.871 3.822
ATOMIC_POSITIONS crystal
Sc 0.000 0.000 0.500
Ga 0.000 0.000 0.000
Se 0.000 0.500 0.000
Se 0.500 0.000 0.000
F 0.500 0.500 0.500
```

N(E_F): 2.23 states/eV/f.u.
Formation energy without anion corrections: -0.291 eV per atom
Volume: 23.28 A^3/atom
Total DFT energy (no corrections): -1.113 Ry per atom
Spin magnetization: 0.000 Bohr magnetons per cell
Symmetry: P4/mmm, No. 123
Crystal system: tetragonal

---

No. 4
Compound: GaSe3F
Source: the Alexandria database
Functional: SCAN
Structure: single point on PBEsol structure Values from VASP.

```
&SYSTEM
  ibrav = 0, nat = 5, ntyp = 3
/
ATOMIC_SPECIES
Ga 69.72 Ga.upf
Se 78.96 Se.upf
F 19.00 F.upf
CELL_PARAMETERS angstrom
4.843 0.000 0.000
0.000 4.843 0.000
0.000 0.000 4.843
ATOMIC_POSITIONS crystal
Ga 0.000 0.000 0.000
Se 0.000 0.500 0.000
Se 0.000 0.000 0.500
Se 0.500 0.000 0.000
F 0.500 0.500 0.500
```

N(E_F): 5.61 states/eV/f.u.
Formation energy without anion corrections: 0.387 eV per atom
Volume: 22.72 A^3/atom
Total DFT energy (no corrections): -1.149 Ry per atom
Spin magnetization: 0.007 Bohr magnetons per cell
Symmetry: Pm-3m, No. 221
Crystal system: cubic

---

No. 5
Compound: SrGaF5
Source: the Alexandria database
Functional: SCAN
Structure: single point on PBEsol structure Values from VASP.

```
&SYSTEM
  ibrav = 0, nat = 56, ntyp = 3
/
ATOMIC_SPECIES
Sr 87.62 Sr.upf
Ga 69.72 Ga.upf
F 19.00 F.upf
CELL_PARAMETERS angstrom
-2.948 -1.780 -6.497
7.423 -4.847 -6.202
-4.255 -9.935 0.492
ATOMIC_POSITIONS crystal
Sr 0.976 0.273 0.824
Sr 0.072 0.727 0.176
Sr 0.248 0.824 0.727
Sr 0.800 0.176 0.273
Sr 0.771 0.684 0.823
Sr 0.278 0.316 0.177
Sr 0.455 0.823 0.316
Sr 0.593 0.177 0.684
Ga 0.278 0.000 0.000
Ga 0.692 0.517 0.146
Ga 0.356 0.483 0.854
Ga 0.209 0.146 0.483
Ga 0.839 0.854 0.517
Ga 0.773 0.000 0.000
Ga 0.023 0.500 0.500
Ga 0.523 0.500 0.500
F 0.909 0.388 0.192
F 0.489 0.612 0.808
F 0.297 0.192 0.612
F 0.101 0.808 0.388
F 0.273 0.500 0.500
F 0.773 0.500 0.500
F 0.526 0.000 0.000
F 0.805 0.655 0.132
F 0.592 0.345 0.868
F 0.460 0.132 0.345
F 0.937 0.868 0.655
F 0.801 0.483 0.964
F 0.248 0.517 0.036
F 0.283 0.964 0.517
F 0.765 0.036 0.483
F 0.240 0.346 0.869
F 0.455 0.654 0.131
F 0.587 0.869 0.654
F 0.109 0.131 0.346
F 0.026 0.000 0.000
F 0.956 0.454 0.680
F 0.090 0.546 0.320
F 0.410 0.680 0.546
F 0.637 0.320 0.454
F 0.909 0.836 0.914
F 0.659 0.164 0.086
F 0.745 0.914 0.164
F 0.823 0.086 0.836
F 0.571 0.574 0.330
F 0.475 0.426 0.670
F 0.145 0.330 0.426
F 0.901 0.670 0.574
F 0.142 0.163 0.088
F 0.393 0.837 0.912
F 0.305 0.088 0.837
F 0.230 0.912 0.163
F 0.139 0.612 0.807
F 0.558 0.388 0.193
F 0.751 0.807 0.388
F 0.947 0.193 0.612
```

N(E_F): 0.00 states/eV/f.u.
Formation energy without anion corrections: -3.411 eV per atom
Volume: 13.60 A^3/atom
Total DFT energy (no corrections): -0.842 Ry per atom
Spin magnetization: 0.425 Bohr magnetons per cell
Symmetry: I4, No. 79
Crystal system: tetragonal

---

No. 6
Compound: Ta3GaF
Source: the Alexandria database
Functional: SCAN
Structure: single point on PBEsol structure Values from VASP.

```
&SYSTEM
  ibrav = 0, nat = 5, ntyp = 3
/
ATOMIC_SPECIES
F 19.00 F.upf
Ga 69.72 Ga.upf
Ta 180.95 Ta.upf
CELL_PARAMETERS angstrom
4.248 0.000 0.000
0.000 4.248 0.000
0.000 0.000 4.248
ATOMIC_POSITIONS crystal
F 0.000 0.000 0.000
Ga 0.500 0.500 0.500
Ta 0.000 0.500 0.000
Ta 0.000 0.000 0.500
Ta 0.500 0.000 0.000
```

N(E_F): 3.79 states/eV/f.u.
Relative energy among the computed polymorphs: 0.0 meV per atom
Formation energy without anion corrections: 0.121 eV per atom
Volume: 15.33 A^3/atom
Total DFT energy (no corrections): -3.220 Ry per atom
Spin magnetization: 0.000 Bohr magnetons per cell
Symmetry: Pm-3m, No. 221
Crystal system: cubic

---

No. 7
Compound: GaTcF2
Source: the Alexandria database
Functional: SCAN
Structure: single point on PBEsol structure Values from VASP.

```
&SYSTEM
  ibrav = 0, nat = 4, ntyp = 3
/
ATOMIC_SPECIES
Tc 98.00 Tc.upf
Ga 69.72 Ga.upf
F 19.00 F.upf
CELL_PARAMETERS angstrom
4.190 0.000 0.000
2.095 3.629 0.000
2.095 1.210 3.421
ATOMIC_POSITIONS crystal
Tc 0.500 0.500 0.500
Ga 0.000 0.000 0.000
F 0.250 0.250 0.250
F 0.750 0.750 0.750
```

N(E_F): 2.50 states/eV/f.u.
Formation energy without anion corrections: -0.531 eV per atom
Volume: 13.01 A^3/atom
Total DFT energy (no corrections): -1.114 Ry per atom
Spin magnetization: 3.773 Bohr magnetons per cell
Symmetry: Fm-3m, No. 225
Crystal system: cubic

---

No. 8
Compound: GaTeF3
Source: the Alexandria database
Functional: SCAN
Structure: single point on PBEsol structure Values from VASP.

```
&SYSTEM
  ibrav = 0, nat = 5, ntyp = 3
/
ATOMIC_SPECIES
Te 127.60 Te.upf
Ga 69.72 Ga.upf
F 19.00 F.upf
CELL_PARAMETERS angstrom
-2.720 1.942 -3.182
-0.645 -4.125 -1.966
-3.672 -0.714 2.703
ATOMIC_POSITIONS crystal
Te 0.000 0.000 0.000
Ga 0.500 0.500 0.500
F 0.000 0.500 0.000
F 0.000 0.000 0.500
F 0.500 0.000 0.000
```

N(E_F): 2.53 states/eV/f.u.
Formation energy without anion corrections: -1.084 eV per atom
Volume: 19.66 A^3/atom
Total DFT energy (no corrections): -1.024 Ry per atom
Spin magnetization: 0.000 Bohr magnetons per cell
Symmetry: Pm-3m, No. 221
Crystal system: cubic

---

No. 9
Compound: Ti2Ga2F
Source: the Alexandria database
Functional: SCAN
Structure: single point on PBEsol structure Values from VASP.

```
&SYSTEM
  ibrav = 0, nat = 5, ntyp = 3
/
ATOMIC_SPECIES
F 19.00 F.upf
Ga 69.72 Ga.upf
Ti 47.87 Ti.upf
CELL_PARAMETERS angstrom
-1.792 -1.344 2.644
-2.465 -1.042 -2.201
5.479 -4.940 -1.068
ATOMIC_POSITIONS crystal
F 0.000 0.000 0.000
Ga 0.415 0.415 0.831
Ga 0.585 0.585 0.169
Ti 0.250 0.750 0.500
Ti 0.750 0.250 0.500
```

N(E_F): 3.44 states/eV/f.u.
Formation energy without anion corrections: -0.083 eV per atom
Volume: 16.91 A^3/atom
Total DFT energy (no corrections): -1.010 Ry per atom
Spin magnetization: 0.001 Bohr magnetons per cell
Symmetry: I4/mmm, No. 139
Crystal system: tetragonal